Record 1
Density functional theory data (PBEsol) for Ba2AsI after structural relaxation.

POSCAR file:
```
Ba2AsI
1.0
0.0000 4.0873 4.0873
4.0873 0.0000 4.0873
4.0873 4.0873 0.0000
Ba As I
2 1 1
direct
0.2500 0.2500 0.2500
0.7500 0.7500 0.7500
0.0000 0.0000 0.0000
0.5000 0.5000 0.5000
```

## Properties
- Space-group type: Fm-3m (225)

---

Record 2
Density functional theory data (PBEsol) for BaAsIO2 after structural relaxation.

POSCAR file:
```
BaAsIO2
1.0
4.4575 0.0000 0.0000
0.0000 4.4575 0.0000
0.0000 0.0000 7.2375
Ba As I O
1 1 1 2
direct
0.0000 0.0000 0.0000
0.5000 0.5000 0.5000
0.0000 0.0000 0.5000
0.0000 0.5000 0.0000
0.5000 0.0000 0.0000
```

## Properties
- Space-group type: P4/mmm (123)

---

Record 3
Density functional theory data (PBEsol) for BaSbAs2I after structural relaxation.

POSCAR file:
```
BaSbAs2I
1.0
6.2151 0.0000 0.0000
0.0000 6.2151 0.0000
0.0000 0.0000 6.3059
Ba Sb As I
1 1 2 1
direct
0.0000 0.0000 0.0000
0.5000 0.5000 0.5000
0.0000 0.5000 0.0000
0.5000 0.0000 0.0000
0.0000 0.0000 0.5000
```

## Properties
- Space-group type: P4/mmm (123)

---

| no. | formation energy (no corrections) (eV/atom) |
| --- | --- |
| 1 | -1.2848 |
| 2 | -0.0402 |
| 3 | 0.9135 |